Material: CsBaNa2P
Method: DFT, PBEsol
State: optimized geometry

## Properties
For the total magnetic moment, the calculation gives 0.00 μB/atom. The calculation puts the uncorrected energy at -1.897 eV per atom. The energy relative to the elements is 2.20 eV/f.u.

Cell: 5.8242 5.8242 6.2569 Å, 90.00 90.00 90.00°
Closest atoms and distances in Å follow each position.
Space group P4/mmm (No. 123)
Inequivalent atoms, fractional coordinates:
Cs  0.0000  0.0000  0.0000  4 Na 2.91, 2 P 3.13
Ba  0.5000  0.5000  0.5000  4 P 4.12, 8 Na 4.27
Na  0.0000  0.5000  0.0000  2 Cs 2.91
P  0.0000  0.0000  0.5000  2 Cs 3.13

Material: CsBaNb3
Method: DFT, PBEsol
State: optimized geometry

## Properties
For the total magnetic moment, the calculation gives 0.23 μB/atom. The calculation puts the uncorrected energy at -4.450 eV per atom. The energy relative to the elements is 13.31 eV/f.u.

Cell: 5.2720 5.2720 5.2720 Å, 90.00 90.00 90.00°
Closest atoms and distances in Å follow each position.
Space group Pm-3m (No. 221)
Inequivalent atoms, fractional coordinates:
Cs  0.0000  0.0000  0.0000  12 Nb 3.73
Ba  0.5000  0.5000  0.5000  6 Nb 2.64
Nb  0.0000  0.5000  0.5000  2 Ba 2.64

Material: CsBa2Nb3O10
Method: DFT, PBEsol
State: optimized geometry

## Properties
For the total magnetic moment, the calculation gives 0.00 μB/atom. The value obtained for the raw formation energy is -2.72 eV/atom. The calculation puts the uncorrected energy at -8.354 eV per atom.

Cell: 3.9961 3.9961 15.6725 Å, 90.00 90.00 90.00°
Closest atoms and distances in Å follow each position.
Space group P4/mmm (No. 123)
Inequivalent atoms, fractional coordinates:
Cs  0.0000  0.0000  0.0000  8 O 3.21
Ba  0.0000  0.0000  0.3564  12 O 2.75-3.01
Nb  0.5000  0.5000  0.2110  1 O 1.78
Nb  0.5000  0.5000  0.5000  6 O 1.98-2.00
O  0.0000  0.5000  0.2355  2 Nb 2.03
O  0.0000  0.5000  0.5000  2 Nb 2.00
O  0.5000  0.5000  0.0973  1 Nb 1.78
O  0.5000  0.5000  0.3734  1 Nb 1.98

Material: Cs2BaO2
Method: DFT, PBEsol
State: optimized geometry

## Properties
For the total magnetic moment, the calculation gives 0.00 μB/atom. The value obtained for the raw formation energy is -1.57 eV/atom. The calculation puts the uncorrected energy at -4.475 eV per atom.

Cell: 11.1386 6.8940 7.2503 Å, 90.00 90.00 90.00°
Closest atoms and distances in Å follow each position.
Space group Pbcn (No. 60)
Inequivalent atoms, fractional coordinates:
Cs  0.1572  0.0867  0.0968  3 O 2.86-3.16
Ba  0.0000  0.4706  0.7500  4 O 2.54-2.61
O  0.1080  0.3049  0.4729  2 Ba 2.54-2.61

Material: Cs2BaP2O7
Method: DFT, PBEsol
State: optimized geometry

## Properties
For the total magnetic moment, the calculation gives 0.00 μB/atom. The value obtained for the raw formation energy is -2.51 eV/atom. The calculation puts the uncorrected energy at -6.874 eV per atom.

Cell: 10.7127 6.1765 15.3380 Å, 90.00 118.42 90.00°
Closest atoms and distances in Å follow each position.
Space group P2_1/c (No. 14)
Inequivalent atoms, fractional coordinates:
Cs  0.0144  0.2388  0.1436  9 O 3.08-3.36
Cs  0.4600  0.2244  0.3196  8 O 3.05-3.38
Ba  0.2660  0.2401  0.5106  6 O 2.63-2.73
P  0.1758  0.7459  0.1401  4 O 1.53-1.65
P  0.3169  0.7204  0.3611  4 O 1.53-1.65
O  0.0142  0.7371  0.0765  1 P 1.53
O  0.1956  0.6979  0.7509  2 P 1.65
O  0.2430  0.5619  0.6149  1 P 1.53
O  0.2485  0.5295  0.1451  1 P 1.53
O  0.2688  0.0052  0.8744  1 P 1.53
O  0.3057  0.6093  0.9293  1 P 1.53
O  0.4599  0.7204  0.3613  1 P 1.53

Material: Cs4BaV6O18
Method: DFT, PBEsol
State: optimized geometry

## Properties
For the total magnetic moment, the calculation gives 0.01 μB/atom. The value obtained for the raw formation energy is -2.44 eV/atom. The calculation puts the uncorrected energy at -7.896 eV per atom.

Cell: 13.9240 13.9240 19.8089 Å, 90.00 90.00 120.00°
Closest atoms and distances in Å follow each position.
Space group R3c (No. 161, hexagonal axes)
Inequivalent atoms, fractional coordinates:
Cs  0.0000  0.0000  0.0000  6 O 3.07-3.09
Cs  0.0081  0.4143  0.0039  7 O 3.02-3.33
Ba  0.0000  0.0000  0.2269  9 O 2.79-2.85
V  0.0565  0.2430  0.1400  4 O 1.65-1.79
V  0.1317  0.4074  0.5299  4 O 1.64-1.79
O  0.0090  0.3349  0.8231  2 V 1.79
O  0.0278  0.5127  0.7380  2 V 1.79
O  0.0290  0.2000  0.9185  1 V 1.64
O  0.0987  0.5468  0.3749  1 V 1.65
O  0.1527  0.0389  0.1221  1 V 1.65
O  0.1909  0.0881  0.8064  1 V 1.66